Computed, not measured: a geometry-optimized GdDyCu2Sn2 structure at the PBE-GGA level of DFT.

Cell lengths 4.551, 4.551, 7.263 Å; angles 90.00, 90.00, 120.00 degrees
Atoms (fractional coordinates):
Sn1 0.333 0.667 0.463
Gd1 0.000 0.000 0.735
Cu1 0.667 0.333 0.548
Cu2 0.333 0.667 0.054
Dy1 0.000 0.000 0.234
Sn2 0.667 0.333 0.966

ρ in kg/m3: 8723
Electronic total energy in eV/atom: -4.72
Spin magnetization in μB/cell: 0.002